[1]
# La3YTe4, optimized geometry, DFT PBE
# SG: Cmmm, No. 65
data_La3YTe4
_space_group_name_H-M_alt 'P 1'
_space_group_IT_number 1
_cell_length_a 4.485
_cell_length_b 7.869
_cell_length_c 7.869
_cell_angle_alpha 108.99
_cell_angle_beta 90.00
_cell_angle_gamma 90.00
loop_
_space_group_symop_operation_xyz
'x,y,z'
loop_
_atom_site_label
_atom_site_type_symbol
_atom_site_fract_x
_atom_site_fract_y
_atom_site_fract_z
La1 La 0.000 0.000 0.500
La2 La 0.500 0.500 0.500
La3 La 0.000 0.500 0.000
Y1 Y 0.500 0.000 0.000
Te1 Te 0.000 0.239 0.239
Te2 Te 0.500 0.756 0.244
Te3 Te 0.000 0.761 0.761
Te4 Te 0.500 0.244 0.756

[2]
# LaY2Te, optimized geometry, DFT PBE
# SG: P2/m, No. 10
data_LaY2Te
_space_group_name_H-M_alt 'P 1'
_space_group_IT_number 1
_cell_length_a 5.235
_cell_length_b 3.923
_cell_length_c 6.544
_cell_angle_alpha 73.91
_cell_angle_beta 90.00
_cell_angle_gamma 90.00
loop_
_space_group_symop_operation_xyz
'x,y,z'
loop_
_atom_site_label
_atom_site_type_symbol
_atom_site_fract_x
_atom_site_fract_y
_atom_site_fract_z
La1 La 0.500 0.250 0.250
Te1 Te 0.500 0.750 0.750
Y1 Y 0.000 0.891 0.978
Y2 Y 0.000 0.609 0.522

[3]
# La2YTe3, optimized geometry, DFT PBE
# Relative energy among the computed polymorphs (eV per atom): 0.0080
# SG: Immm, No. 71
data_La2YTe3
_space_group_name_H-M_alt 'P 1'
_space_group_IT_number 1
_cell_length_a 4.491
_cell_length_b 6.388
_cell_length_c 7.831
_cell_angle_alpha 114.07
_cell_angle_beta 106.66
_cell_angle_gamma 90.00
loop_
_space_group_symop_operation_xyz
'x,y,z'
loop_
_atom_site_label
_atom_site_type_symbol
_atom_site_fract_x
_atom_site_fract_y
_atom_site_fract_z
La1 La 0.829 0.829 0.158
La2 La 0.171 0.171 0.842
Y1 Y 0.500 0.500 0.500
Te1 Te 0.843 0.343 0.186
Te2 Te 0.157 0.657 0.814
Te3 Te 0.500 0.000 0.500

[4]
# LaYTe2, optimized geometry, DFT PBE
# Relative energy among the computed polymorphs (eV per atom): 0.1460
# SG: P4/mmm, No. 123
data_LaYTe2
_space_group_name_H-M_alt 'P 1'
_space_group_IT_number 1
_cell_length_a 3.862
_cell_length_b 3.862
_cell_length_c 8.657
_cell_angle_alpha 63.47
_cell_angle_beta 90.00
_cell_angle_gamma 90.00
loop_
_space_group_symop_operation_xyz
'x,y,z'
loop_
_atom_site_label
_atom_site_type_symbol
_atom_site_fract_x
_atom_site_fract_y
_atom_site_fract_z
La1 La 0.500 0.750 0.750
Te1 Te 0.000 0.990 0.010
Te2 Te 0.000 0.510 0.490
Y1 Y 0.500 0.250 0.250

Energy relative to the elements, uncorrected in eV per atom, matching the order above: -1.52 -0.47 -1.49 -1.31
E in eV/atom, matching the order above: -5.75 -5.72 -5.78 -5.73